VASP calculation (GGA+U) on a geometry-optimized CuNi2F structure.

The polymorph energy (0 for the lowest one) is 473 meV per atom. The calculated volume comes out at 11.52 Å³ per atom. Its space group is Fm-3m, No. 225.

a b c (Å): 4.024 4.024 4.024
angles (deg): 60.00 60.00 60.00
Positions (direct):
Ni1 0.250 0.250 0.250
Ni2 0.750 0.750 0.750
Cu1 0.500 0.500 0.500
F1 0.000 0.000 0.000